Model w:
VASP calculation (PBE) on a relaxed structure of TePdBrN2.

Summary:
* D(E_F): 0.690 states/eV per atom
* ρ: 4791 kg/m³
* SG: P4/mmm (123)

POSCAR file:
```
TePdBrN2
1.0
3.838 0.000 0.000
0.000 3.838 0.000
0.000 0.000 8.046
Te Br N Pd
1 1 2 1
Direct
0.000 0.000 0.500
0.000 0.000 0.000
0.500 0.000 0.000
0.000 0.500 0.000
0.500 0.500 0.500
```

Model x:
VASP calculation (PBE) on a relaxed structure of TePdBrN2.

Summary:
* D(E_F): 0.546 states/eV per atom
* ρ: 5726 kg/m³
* SG: P4/mmm (123)

POSCAR file:
```
TePdBrN2
1.0
-1.204 -2.708 2.855
0.528 -3.069 -2.689
5.550 -0.598 1.772
N Br Te Pd
2 1 1 1
Direct
0.500 0.000 0.000
0.000 0.500 0.000
0.500 0.500 0.500
0.000 0.000 0.500
0.000 0.000 0.000
```

Each structure's energy above the most stable one, in meV per atom: model w 630; model x 0.

Model w:
VASP calculation (PBE) on a relaxed structure of Pm4Br3N2.

Summary:
* D(E_F): 0.283 states/eV per atom
* ρ: 6428 kg/m³
* SG: C2/m (12)

POSCAR file:
```
Pm4Br3N2
1.0
3.558 0.000 0.000
-1.779 7.283 -0.421
0.000 -1.543 8.541
N Pm Br
2 4 3
Direct
0.699 0.398 0.817
0.301 0.602 0.183
0.905 0.810 0.284
0.684 0.368 0.099
0.316 0.632 0.901
0.095 0.190 0.716
0.000 0.000 0.000
0.595 0.189 0.405
0.405 0.811 0.595
```

Model x:
VASP calculation (PBE) on a relaxed structure of Pm4Br3N2.

Summary:
* D(E_F): 0.488 states/eV per atom
* ρ: 6260 kg/m³
* SG: C2/m (12)

POSCAR file:
```
Pm4Br3N2
1.0
-1.599 -0.847 -3.102
5.342 -4.936 0.672
-6.691 -4.015 4.545
Pm Br N
4 3 2
Direct
0.164 0.329 0.276
0.836 0.671 0.724
0.346 0.691 0.102
0.654 0.309 0.898
0.000 0.000 0.000
0.631 0.262 0.532
0.369 0.738 0.468
0.263 0.527 0.843
0.737 0.473 0.157
```

Each structure's energy above the most stable one, in meV per atom: model w 0; model x 28.